# PBE CeCdRu2, optimized geometry
# Energy relative to the elements: -0.417 eV per formula unit
# Distance to the lowest polymorph of the same formula: 0.000 eV/atom
# DOS(E_F): 5.8 states/eV per cell
# Energy: -6.454 eV/atom
data_CeCdRu2
_symmetry_space_group_name_H-M 'P 4/m m m'
_symmetry_Int_Tables_number 123
_symmetry_space_group_name_Hall '-P 4 2'
_cell_length_a 4.522
_cell_length_b 4.522
_cell_length_c 3.563
_cell_angle_alpha 90.00
_cell_angle_beta 90.00
_cell_angle_gamma 90.00
loop_
_atom_site_label
_atom_site_type_symbol
_atom_site_fract_x
_atom_site_fract_y
_atom_site_fract_z
_atom_site_occupancy
Ce1 Ce 0.000 0.000 0.000 1
Cd1 Cd 0.500 0.500 0.000 1
Ru1 Ru 0.000 0.500 0.500 1